# 1
DFT (PBE-GGA) results for RbTcBi2Cl after structural relaxation.

a b c (Å): 5.1806 5.1806 7.4052
angles (deg): 90.00 90.00 90.00
Space group P4/mmm (No. 123)
One atom of each set of equivalent atoms:
1 Rb 0.0000 0.0000 0.0000
2 Tc 0.0000 0.0000 0.5000
3 Bi 0.0000 0.5000 0.5000
4 Cl 0.5000 0.5000 0.0000

## Properties
The crystal system is tetragonal. Its raw total energy is -20.7 eV per formula unit. The uncorrected formation energy is 0.045 eV/atom.


# 2
DFT (PBE-GGA) results for Ac2CeSmS4 after structural relaxation.

a b c (Å): 7.1933 4.1372 7.2640
angles (deg): 90.00 109.19 90.00
Space group P2/m (No. 10)
One atom of each set of equivalent atoms:
1 Ac 0.0000 0.0000 0.0000
2 Ac 0.5000 0.5000 0.0000
3 Ce 0.0000 0.5000 0.5000
4 Sm 0.5000 0.0000 0.5000
5 S 0.2446 0.0000 0.7306
6 S 0.2578 0.5000 0.2701

## Properties
The crystal system is monoclinic. Its raw total energy is -51.4 eV per formula unit. The uncorrected formation energy is -2.007 eV/atom.


> What is the raw total energy in the second record?

-51.4 eV per formula unit


> Look up the raw total energy of the first one.

-20.7 eV per formula unit